# 1
The following is a DFT calculation (GGA-PBEsol) of an optimized crystal structure of CuRh2Br.

abc: 2.9451 2.9451 7.0246
angles: 90.00 90.00 90.00
Closest atoms and distances in Å follow each position.
Space group P4mm (No. 99)
Asymmetric unit:
Cu 0.0000 0.0000 0.0000 [1 per cell]  4 Rh 2.59
Rh 0.0000 0.0000 0.4400 [1 per cell]  4 Rh 2.59, 4 Br 2.79
Rh 0.5000 0.5000 0.2196 [1 per cell]  4 Cu 2.59, 4 Rh 2.59
Br 0.5000 0.5000 0.7036 [1 per cell]  4 Rh 2.79, 4 Cu 2.94, 4 Br 2.95

Computed properties:
* distance to the lowest polymorph of the same formula: 0.000 eV per atom
* crystal system: tetragonal
* raw formation energy: 429 meV per atom


# 2
The following is a DFT calculation (GGA-PBEsol) of an optimized crystal structure of Ca2InPt.

abc: 4.9573 4.9573 3.7556
angles: 90.00 90.00 90.00
Closest atoms and distances in Å follow each position.
Space group P4/mmm (No. 123)
Asymmetric unit:
Ca 0.0000 0.5000 0.0000 [2 per cell]  4 Pt 3.11, 4 In 3.11
In 0.0000 0.0000 0.5000 [1 per cell]  8 Ca 3.11
Pt 0.5000 0.5000 0.5000 [1 per cell]  8 Ca 3.11

Computed properties:
* E: -0.303 Ry per atom
* crystal system: tetragonal


# 3
The following is a DFT calculation (GGA-PBEsol) of an optimized crystal structure of Ti2NiS4.

abc: 12.4888 3.3418 5.7600
angles: 90.00 117.23 90.00
Closest atoms and distances in Å follow each position.
Space group C2/m (No. 12)
Asymmetric unit:
Ti 0.2445 0.0000 0.2385 [4 per cell]  6 S 2.39-2.45
Ni 0.0000 0.5000 0.5000 [2 per cell]  6 S 2.31-2.34
S 0.1161 0.5000 0.9470 [4 per cell]  1 Ni 2.31, 3 Ti 2.39-2.42
S 0.1207 0.0000 0.4566 [4 per cell]  2 Ni 2.34, 3 Ti 2.40-2.45

Computed properties:
* crystal system: monoclinic
* raw formation energy: -1246 meV per atom


# 4
The following is a DFT calculation (GGA-PBEsol) of an optimized crystal structure of CsRb2CoF6.

abc: 9.0707 9.0707 9.0707
angles: 90.00 90.00 90.00
Closest atoms and distances in Å follow each position.
Space group Fm-3m (No. 225)
Asymmetric unit:
Cs 0.0000 0.0000 0.0000 [4 per cell]  6 F 2.69
Rb 0.2500 0.2500 0.2500 [8 per cell]  12 F 3.24
Co 0.0000 0.0000 0.5000 [4 per cell]  6 F 1.84
F 0.0000 0.0000 0.2971 [24 per cell]  1 Co 1.84

Computed properties:
* crystal system: cubic
* raw formation energy: -2410 meV per atom


# 5
The following is a DFT calculation (GGA-PBEsol) of an optimized crystal structure of BeTeIr3.

abc: 4.7657 4.7657 4.7657
angles: 90.00 90.00 90.00
Closest atoms and distances in Å follow each position.
Space group Pm-3m (No. 221)
Asymmetric unit:
Be 0.0000 0.0000 0.0000 [1 per cell]  12 Ir 3.37
Te 0.5000 0.5000 0.5000 [1 per cell]  6 Ir 2.38
Ir 0.0000 0.5000 0.5000 [3 per cell]  2 Te 2.38

Computed properties:
* crystal system: cubic
* raw formation energy: 2112 meV per atom


# 6
The following is a DFT calculation (GGA-PBEsol) of an optimized crystal structure of Mg2CdNi.

abc: 3.1407 3.1407 7.0587
angles: 90.00 90.00 90.00
Closest atoms and distances in Å follow each position.
Space group P4mm (No. 99)
Asymmetric unit:
Mg 0.0000 0.0000 0.0000 [1 per cell]  4 Cd 2.97, 8 Mg 3.12-3.14
Mg 0.5000 0.5000 0.3110 [1 per cell]  4 Ni 2.62, 1 Cd 2.89
Cd 0.5000 0.5000 0.7204 [1 per cell]  4 Ni 2.68, 5 Mg 2.89-2.97
Ni 0.0000 0.0000 0.5070 [1 per cell]  4 Mg 2.62, 4 Cd 2.68

Computed properties:
* E: -0.202 Ry per atom
* crystal system: tetragonal